Entry 1:
Material: BeSi
Method: DFT, SCAN
State: PBEsol geometry

Values from the calculation:
Total moment, μB/f.u.: 0.0
Distance to the lowest polymorph of the same formula, meV per atom: 130
ΔE_f (raw), meV/atom: 529

Unit cell a=3.5700 b=3.5700 c=4.7804 alpha=90.00 beta=90.00 gamma=120.00
Last column: nearest neighbours and their distance in Å.
Atoms (fractional coordinates):
Si 0.0000 0.0000 0.5000  6 Be 2.38, 2 Si 2.39
Si 0.0000 0.0000 0.0000  6 Be 2.38, 2 Si 2.39
Be 0.3333 0.6667 0.2500  6 Si 2.38
Be 0.6667 0.3333 0.7500  6 Si 2.38

***

Entry 2:
Material: BeSi
Method: DFT, SCAN
State: PBEsol geometry

Values from the calculation:
Total moment, μB/f.u.: 0.0
Distance to the lowest polymorph of the same formula, meV per atom: 2
ΔE_f (raw), meV/atom: 401

Unit cell a=2.6056 b=3.9643 c=7.5342 alpha=97.51 beta=90.00 gamma=109.19
Last column: nearest neighbours and their distance in Å.
Atoms (fractional coordinates):
Be 0.4572 0.9144 0.7899  5 Si 2.26-2.33
Be 0.0511 0.1023 0.0776  3 Be 2.19-2.25, 5 Si 2.40-2.43
Be 0.3399 0.6798 0.1753  3 Be 2.19-2.25, 3 Si 2.37-2.39
Si 0.7497 0.4993 0.9157  8 Be 2.26-2.43
Si 0.6348 0.2696 0.3440  5 Be 2.39-2.49, 5 Si 2.48-2.61
Si 0.9340 0.8680 0.5309  2 Be 2.33, 5 Si 2.48-2.61

***

Entry 3:
Material: BeSi
Method: DFT, SCAN
State: PBEsol geometry

Values from the calculation:
Total moment, μB/f.u.: 0.0
Distance to the lowest polymorph of the same formula, meV per atom: 0
ΔE_f (raw), meV/atom: 399

Unit cell a=3.5790 b=4.0044 c=3.9162 alpha=90.00 beta=90.00 gamma=116.54
Last column: nearest neighbours and their distance in Å.
Atoms (fractional coordinates):
Si 0.3900 0.7801 0.7500  3 Be 2.21-2.26
Si 0.6100 0.2199 0.2500  3 Be 2.21-2.26
Be 0.9179 0.8358 0.2500  3 Si 2.21-2.26, 2 Be 2.28
Be 0.0821 0.1642 0.7500  3 Si 2.21-2.26, 2 Be 2.28

***

Entry 4:
Material: Be3Si
Method: DFT, SCAN
State: PBEsol geometry

Values from the calculation:
Total moment, μB/f.u.: 0.0
Distance to the lowest polymorph of the same formula, meV per atom: 687
ΔE_f (raw), meV/atom: 1182

Unit cell a=4.1509 b=4.1509 c=4.1509 alpha=90.00 beta=90.00 gamma=90.00
Last column: nearest neighbours and their distance in Å.
Atoms (fractional coordinates):
Si 0.0000 0.0000 0.0000  6 Be 2.08
Be 0.0000 0.5000 0.0000  2 Si 2.08
Be 0.5000 0.0000 0.0000  2 Si 2.08
Be 0.0000 0.0000 0.5000  2 Si 2.08

***

Look up the total moment of the fourth one. 0.0 μB/f.u.

***

What did the fourth record say?
Material: Be3Si
Method: DFT, SCAN
State: PBEsol geometry

Values from the calculation:
Total moment, μB/f.u.: 0.0
Distance to the lowest polymorph of the same formula, meV per atom: 687
ΔE_f (raw), meV/atom: 1182

Unit cell a=4.1509 b=4.1509 c=4.1509 alpha=90.00 beta=90.00 gamma=90.00
Last column: nearest neighbours and their distance in Å.
Atoms (fractional coordinates):
Si 0.0000 0.0000 0.0000  6 Be 2.08
Be 0.0000 0.5000 0.0000  2 Si 2.08
Be 0.5000 0.0000 0.0000  2 Si 2.08
Be 0.0000 0.0000 0.5000  2 Si 2.08

***

What is the total moment in the third record? 0.0 μB/f.u.

***

Look up the distance to the lowest polymorph of the same formula of the second one. 2 meV per atom